Record 1
DFT (PBE-GGA) results for crystalline MnCd3Ni at its relaxed geometry.

a = 4.900 Å, b = 4.900 Å, c = 4.900 Å
α = 90.00°, β = 90.00°, γ = 90.00°
Space group Pm-3m (No. 221)
Symmetry-distinct sites (fractional):
1 Mn 0.000 0.000 0.000 (multiplicity 1)
2 Cd 0.000 0.500 0.500 (multiplicity 3)
3 Ni 0.500 0.500 0.500 (multiplicity 1)

Results
Formation energy from the elements in eV per atom: 0.551
E_tot in eV per atom: -2.989
V in Å³/atom: 23.5


Record 2
DFT (PBE-GGA) results for crystalline MnCdNi2 at its relaxed geometry.

a = 8.404 Å, b = 2.793 Å, c = 4.884 Å
α = 90.00°, β = 101.30°, γ = 90.00°
Space group C2/m (No. 12)
Symmetry-distinct sites (fractional):
1 Mn 0.000 0.000 0.000 (multiplicity 2)
2 Cd 0.000 0.500 0.500 (multiplicity 2)
3 Ni 0.242 0.500 0.216 (multiplicity 4)

Results
Formation energy from the elements in eV per atom: 0.151
E_tot in eV per atom: -5.261
V in Å³/atom: 14.1


Record 3
DFT (PBE-GGA) results for crystalline MnCdNi at its relaxed geometry.

a = 4.3247 Å, b = 4.3247 Å, c = 2.7885 Å
α = 90.00°, β = 90.00°, γ = 120.00°
Space group P3m1 (No. 156)
Symmetry-distinct sites (fractional):
1 Mn 0.0000 0.0000 0.0000 (multiplicity 1)
2 Cd 0.3333 0.6667 0.5582 (multiplicity 1)
3 Ni 0.6667 0.3333 0.1418 (multiplicity 1)

Results
Formation energy from the elements in eV per atom: 0.191
E_tot in eV per atom: -5.098
V in Å³/atom: 15.1


Record 4
DFT (PBE-GGA) results for crystalline Mn2CdNi at its relaxed geometry.

a = 2.8772 Å, b = 2.8772 Å, c = 25.7202 Å
α = 90.00°, β = 90.00°, γ = 120.00°
Space group R-3m (No. 166, hexagonal axes)
Symmetry-distinct sites (fractional):
1 Mn 0.0000 0.0000 0.2394 (multiplicity 6)
2 Cd 0.0000 0.0000 0.0000 (multiplicity 3)
3 Ni 0.0000 0.0000 0.5000 (multiplicity 3)

Results
Formation energy from the elements in eV per atom: 0.283
E_tot in eV per atom: -5.976
V in Å³/atom: 15.4


Record 5
DFT (PBE-GGA) results for crystalline MnCdNi6 at its relaxed geometry.

a = 7.274 Å, b = 10.341 Å, c = 10.373 Å
α = 90.00°, β = 90.00°, γ = 90.00°
Space group Cmmm (No. 65)
Symmetry-distinct sites (fractional):
1 Mn 0.000 0.000 0.246 (multiplicity 4)
2 Mn 0.000 0.252 0.000 (multiplicity 4)
3 Cd 0.000 0.254 0.500 (multiplicity 4)
4 Cd 0.000 0.500 0.248 (multiplicity 4)
5 Ni 0.000 0.000 0.000 (multiplicity 2)
6 Ni 0.000 0.000 0.500 (multiplicity 2)
7 Ni 0.000 0.245 0.241 (multiplicity 8)
8 Ni 0.000 0.500 0.000 (multiplicity 2)
9 Ni 0.000 0.500 0.500 (multiplicity 2)
10 Ni 0.240 0.123 0.369 (multiplicity 16)
11 Ni 0.243 0.127 0.120 (multiplicity 16)

Results
Formation energy from the elements in eV per atom: 0.025
E_tot in eV per atom: -5.572
V in Å³/atom: 12.2


Record 6
DFT (PBE-GGA) results for crystalline Mn2CdNiOs at its relaxed geometry.

a = 4.760 Å, b = 4.760 Å, c = 4.487 Å
α = 90.00°, β = 90.00°, γ = 90.00°
Space group P4/mmm (No. 123)
Symmetry-distinct sites (fractional):
1 Mn 0.000 0.500 0.000 (multiplicity 2)
2 Cd 0.000 0.000 0.000 (multiplicity 1)
3 Ni 0.000 0.000 0.500 (multiplicity 1)
4 Os 0.500 0.500 0.500 (multiplicity 1)

Results
Formation energy from the elements in eV per atom: 2.010
E_tot in eV per atom: -5.243
V in Å³/atom: 20.3